(1)
VASP calculation (meta-GGA SCAN) on a crystal of InCoAs2 relaxed with PBEsol.

V, Å³ per atom: 22.18
VASP energy, hartree per atom: -0.835
Crystal system: tetragonal
Calculated formation energy, meV per atom: 55
SG: No. 122
Size of the total moment, μB/f.u.: 0.00

```
data_InCoAs2
_chemical_formula_sum 'In4 Co4 As8'
_space_group_name_H-M_alt 'P 1'
_space_group_IT_number 1
_cell_length_a 5.736
_cell_length_b 5.736
_cell_length_c 10.787
_cell_angle_alpha 90.00
_cell_angle_beta 90.00
_cell_angle_gamma 90.00
loop_
_space_group_symop_operation_xyz
'x,y,z'
loop_
_atom_site_label
_atom_site_fract_x
_atom_site_fract_y
_atom_site_fract_z
_atom_site_occupancy
In1 0.000 0.000 0.000 1
In2 0.000 0.500 0.250 1
In3 0.500 0.000 0.750 1
In4 0.500 0.500 0.500 1
Co1 0.000 0.000 0.500 1
Co2 0.000 0.500 0.750 1
Co3 0.500 0.000 0.250 1
Co4 0.500 0.500 0.000 1
As1 0.177 0.250 0.625 1
As2 0.250 0.677 0.875 1
As3 0.250 0.823 0.375 1
As4 0.323 0.250 0.125 1
As5 0.677 0.750 0.125 1
As6 0.750 0.177 0.375 1
As7 0.750 0.323 0.875 1
As8 0.823 0.750 0.625 1
```



(2)
VASP calculation (meta-GGA SCAN) on a crystal of Ba2CoPt relaxed with PBEsol.

V, Å³ per atom: 31.92
VASP energy, hartree per atom: -1.531
Crystal system: trigonal
Calculated formation energy, meV per atom: -15
SG: No. 166
Size of the total moment, μB/f.u.: 1.73

```
data_Ba2CoPt
_chemical_formula_sum 'Ba6 Co3 Pt3'
_space_group_name_H-M_alt 'P 1'
_space_group_IT_number 1
_cell_length_a 4.356
_cell_length_b 4.356
_cell_length_c 23.312
_cell_angle_alpha 90.00
_cell_angle_beta 90.00
_cell_angle_gamma 120.00
loop_
_space_group_symop_operation_xyz
'x,y,z'
loop_
_atom_site_label
_atom_site_fract_x
_atom_site_fract_y
_atom_site_fract_z
_atom_site_occupancy
Ba1 0.000 0.000 0.245 1
Ba2 0.000 0.000 0.755 1
Ba3 0.333 0.667 0.421 1
Ba4 0.333 0.667 0.912 1
Ba5 0.667 0.333 0.088 1
Ba6 0.667 0.333 0.579 1
Co1 0.000 0.000 0.000 1
Co2 0.333 0.667 0.667 1
Co3 0.667 0.333 0.333 1
Pt1 0.000 0.000 0.500 1
Pt2 0.333 0.667 0.167 1
Pt3 0.667 0.333 0.833 1
```



(3)
VASP calculation (meta-GGA SCAN) on a crystal of AgHg3 relaxed with PBEsol.

V, Å³ per atom: 21.78
VASP energy, hartree per atom: -2.165
Crystal system: orthorhombic
Calculated formation energy, meV per atom: 63
SG: No. 62
Size of the total moment, μB/f.u.: 0.00

```
data_AgHg3
_chemical_formula_sum 'Ag4 Hg12'
_space_group_name_H-M_alt 'P 1'
_space_group_IT_number 1
_cell_length_a 7.687
_cell_length_b 8.657
_cell_length_c 5.236
_cell_angle_alpha 90.00
_cell_angle_beta 90.00
_cell_angle_gamma 90.00
loop_
_space_group_symop_operation_xyz
'x,y,z'
loop_
_atom_site_label
_atom_site_fract_x
_atom_site_fract_y
_atom_site_fract_z
_atom_site_occupancy
Ag1 0.128 0.250 0.096 1
Ag2 0.372 0.750 0.596 1
Ag3 0.628 0.250 0.404 1
Ag4 0.872 0.750 0.904 1
Hg1 0.023 0.750 0.406 1
Hg2 0.188 0.564 0.961 1
Hg3 0.188 0.936 0.961 1
Hg4 0.312 0.064 0.461 1
Hg5 0.312 0.436 0.461 1
Hg6 0.477 0.250 0.906 1
Hg7 0.523 0.750 0.094 1
Hg8 0.688 0.564 0.539 1
Hg9 0.688 0.936 0.539 1
Hg10 0.812 0.064 0.039 1
Hg11 0.812 0.436 0.039 1
Hg12 0.977 0.250 0.594 1
```



(4)
VASP calculation (meta-GGA SCAN) on a crystal of TbErRh2 relaxed with PBEsol.

V, Å³ per atom: 19.00
VASP energy, hartree per atom: -1.550
Crystal system: cubic
Calculated formation energy, meV per atom: -1015
SG: No. 225
Size of the total moment, μB/f.u.: 0.00

```
data_TbErRh2
_chemical_formula_sum 'Tb4 Er4 Rh8'
_space_group_name_H-M_alt 'P 1'
_space_group_IT_number 1
_cell_length_a 6.724
_cell_length_b 6.724
_cell_length_c 6.724
_cell_angle_alpha 90.00
_cell_angle_beta 90.00
_cell_angle_gamma 90.00
loop_
_space_group_symop_operation_xyz
'x,y,z'
loop_
_atom_site_label
_atom_site_fract_x
_atom_site_fract_y
_atom_site_fract_z
_atom_site_occupancy
Tb1 0.000 0.000 0.000 1
Tb2 0.000 0.500 0.500 1
Tb3 0.500 0.000 0.500 1
Tb4 0.500 0.500 0.000 1
Er1 0.000 0.000 0.500 1
Er2 0.000 0.500 0.000 1
Er3 0.500 0.000 0.000 1
Er4 0.500 0.500 0.500 1
Rh1 0.250 0.250 0.250 1
Rh2 0.250 0.250 0.750 1
Rh3 0.250 0.750 0.250 1
Rh4 0.250 0.750 0.750 1
Rh5 0.750 0.250 0.250 1
Rh6 0.750 0.250 0.750 1
Rh7 0.750 0.750 0.250 1
Rh8 0.750 0.750 0.750 1
```



(5)
VASP calculation (meta-GGA SCAN) on a crystal of Ba3PrRu2O9 relaxed with PBEsol.

V, Å³ per atom: 14.95
VASP energy, hartree per atom: -0.794
Crystal system: hexagonal
SG: No. 194
Formation energy without anion corrections, eV per formula unit: -36.363
Size of the total moment, μB/f.u.: 2.96

```
data_Ba3PrRu2O9
_chemical_formula_sum 'Ba6 Pr2 Ru4 O18'
_space_group_name_H-M_alt 'P 1'
_space_group_IT_number 1
_cell_length_a 5.916
_cell_length_b 5.916
_cell_length_c 14.792
_cell_angle_alpha 90.00
_cell_angle_beta 90.00
_cell_angle_gamma 120.00
loop_
_space_group_symop_operation_xyz
'x,y,z'
loop_
_atom_site_label
_atom_site_fract_x
_atom_site_fract_y
_atom_site_fract_z
_atom_site_occupancy
Ba1 0.000 0.000 0.250 1
Ba2 0.000 0.000 0.750 1
Ba3 0.333 0.667 0.105 1
Ba4 0.333 0.667 0.395 1
Ba5 0.667 0.333 0.605 1
Ba6 0.667 0.333 0.895 1
Pr1 0.000 0.000 0.000 1
Pr2 0.000 0.000 0.500 1
Ru1 0.333 0.667 0.668 1
Ru2 0.333 0.667 0.832 1
Ru3 0.667 0.333 0.168 1
Ru4 0.667 0.333 0.332 1
O1 0.016 0.508 0.750 1
O2 0.179 0.358 0.594 1
O3 0.179 0.358 0.906 1
O4 0.179 0.821 0.594 1
O5 0.179 0.821 0.906 1
O6 0.358 0.179 0.094 1
O7 0.358 0.179 0.406 1
O8 0.492 0.508 0.750 1
O9 0.492 0.984 0.750 1
O10 0.508 0.016 0.250 1
O11 0.508 0.492 0.250 1
O12 0.642 0.821 0.594 1
O13 0.642 0.821 0.906 1
O14 0.821 0.179 0.094 1
O15 0.821 0.179 0.406 1
O16 0.821 0.642 0.094 1
O17 0.821 0.642 0.406 1
O18 0.984 0.492 0.250 1
```



(6)
VASP calculation (meta-GGA SCAN) on a crystal of Co2TcTe relaxed with PBEsol.

V, Å³ per atom: 13.32
VASP energy, hartree per atom: -0.967
Crystal system: tetragonal
SG: No. 119
Formation energy without anion corrections, eV per formula unit: 1.639
Size of the total moment, μB/f.u.: 2.42

```
data_Co2TcTe
_chemical_formula_sum 'Co4 Tc2 Te2'
_space_group_name_H-M_alt 'P 1'
_space_group_IT_number 1
_cell_length_a 3.819
_cell_length_b 3.819
_cell_length_c 7.310
_cell_angle_alpha 90.00
_cell_angle_beta 90.00
_cell_angle_gamma 90.00
loop_
_space_group_symop_operation_xyz
'x,y,z'
loop_
_atom_site_label
_atom_site_fract_x
_atom_site_fract_y
_atom_site_fract_z
_atom_site_occupancy
Co1 0.000 0.000 0.000 1
Co2 0.000 0.500 0.250 1
Co3 0.500 0.000 0.750 1
Co4 0.500 0.500 0.500 1
Tc1 0.000 0.500 0.750 1
Tc2 0.500 0.000 0.250 1
Te1 0.000 0.000 0.500 1
Te2 0.500 0.500 0.000 1
```



(7)
VASP calculation (meta-GGA SCAN) on a crystal of FeNiMo2 relaxed with PBEsol.

V, Å³ per atom: 12.90
VASP energy, hartree per atom: -0.942
ΔE to the lowest computed polymorph, eV per atom: 0.305
Crystal system: trigonal
Calculated formation energy, meV per atom: 379
SG: No. 166
Size of the total moment, μB/f.u.: 1.06

```
data_FeNiMo2
_chemical_formula_sum 'Fe3 Ni3 Mo6'
_space_group_name_H-M_alt 'P 1'
_space_group_IT_number 1
_cell_length_a 2.641
_cell_length_b 2.641
_cell_length_c 25.619
_cell_angle_alpha 90.00
_cell_angle_beta 90.00
_cell_angle_gamma 120.00
loop_
_space_group_symop_operation_xyz
'x,y,z'
loop_
_atom_site_label
_atom_site_fract_x
_atom_site_fract_y
_atom_site_fract_z
_atom_site_occupancy
Fe1 0.000 0.000 0.000 1
Fe2 0.333 0.667 0.667 1
Fe3 0.667 0.333 0.333 1
Ni1 0.000 0.000 0.500 1
Ni2 0.333 0.667 0.167 1
Ni3 0.667 0.333 0.833 1
Mo1 0.000 0.000 0.251 1
Mo2 0.000 0.000 0.749 1
Mo3 0.333 0.667 0.415 1
Mo4 0.333 0.667 0.918 1
Mo5 0.667 0.333 0.082 1
Mo6 0.667 0.333 0.585 1
```



(8)
VASP calculation (meta-GGA SCAN) on a crystal of Zr2ZnCd relaxed with PBEsol.

V, Å³ per atom: 19.38
VASP energy, hartree per atom: -0.977
ΔE to the lowest computed polymorph, eV per atom: 0.002
Crystal system: tetragonal
Calculated formation energy, meV per atom: -244
SG: No. 123
Size of the total moment, μB/f.u.: 0.00

```
data_Zr2ZnCd
_chemical_formula_sum 'Zr2 Zn1 Cd1'
_space_group_name_H-M_alt 'P 1'
_space_group_IT_number 1
_cell_length_a 4.776
_cell_length_b 4.776
_cell_length_c 3.397
_cell_angle_alpha 90.00
_cell_angle_beta 90.00
_cell_angle_gamma 90.00
loop_
_space_group_symop_operation_xyz
'x,y,z'
loop_
_atom_site_label
_atom_site_fract_x
_atom_site_fract_y
_atom_site_fract_z
_atom_site_occupancy
Zr1 0.000 0.500 0.000 1
Zr2 0.500 0.000 0.000 1
Zn1 0.000 0.000 0.500 1
Cd1 0.500 0.500 0.500 1
```